Material: LaHfAsO
Method: DFT, PBE
State: optimized geometry

Values from the calculation:
**Distance to the lowest polymorph of the same formula**: 214 meV per atom
**Calculated total energy**: -63.12 eV for the cell shown

Unit cell a=4.3680 b=7.1087 c=6.1657 alpha=90.00 beta=90.00 gamma=90.00
With the nearest neighbours (Å) after each atom.
Sites, in units of the cell vectors:
1 La 0.0000 0.2172 0.4458  2 O 2.46
2 O 0.5000 0.3545 0.3495  2 Hf 2.05-2.06
3 La 0.0000 0.7828 0.9458  2 O 2.46
4 Hf 0.5000 0.3966 0.0206  2 O 2.05-2.06
5 As 0.0000 0.7953 0.4381  2 Hf 2.62
6 Hf 0.5000 0.6034 0.5206  2 O 2.05-2.06
7 As 0.0000 0.2047 0.9381  2 Hf 2.62
8 O 0.5000 0.6455 0.8495  2 Hf 2.05-2.06